# RbNi3Rh (PBE-GGA, optimized geometry)
data_RbNi3Rh
_space_group_name_H-M_alt 'P m -3 m'
_space_group_IT_number 221
_space_group_name_Hall '-P 4 2 3'
_cell_length_a 4.7308
_cell_length_b 4.7308
_cell_length_c 4.7308
_cell_angle_alpha 90.00
_cell_angle_beta 90.00
_cell_angle_gamma 90.00
loop_
_atom_site_label
_atom_site_type_symbol
_atom_site_fract_x
_atom_site_fract_y
_atom_site_fract_z
Rb1 Rb 0.0000 0.0000 0.0000
Ni1 Ni 0.0000 0.5000 0.5000
Rh1 Rh 0.5000 0.5000 0.5000
# ΔH_f (0 K) = 954 meV per atom
# distance to the lowest polymorph of the same formula = 0.000 eV per atom
# crystal system = cubic